Here is an optimized crystal structure of In2Fe2Hg from the Alexandria database. Energies are from PBE-GGA.

Output
The calculation puts the formation energy at 0.3188 eV per atom. For the energy above the most stable polymorph in this dataset, the calculation gives 5.3 kJ/mol of atoms. As for the density of states at the Fermi level: 4.8 states/eV/f.u.

The structure in CIF format:
```
data_In2Fe2Hg
_space_group_name_H-M_alt 'P 1'
_space_group_IT_number 1
_space_group_name_Hall 'P 1'
_cell_length_a 3.356
_cell_length_b 3.356
_cell_length_c 9.300
_cell_angle_alpha 79.61
_cell_angle_beta 79.61
_cell_angle_gamma 90.00
loop_
_atom_site_label
_atom_site_type_symbol
_atom_site_fract_x
_atom_site_fract_y
_atom_site_fract_z
Fe1 Fe 0.750 0.250 0.500
Fe2 Fe 0.250 0.750 0.500
Hg1 Hg 0.000 0.000 0.000
In1 In 0.375 0.375 0.251
In2 In 0.625 0.625 0.749
```